Record 1
# Li5Rh4, relaxed, DFT PBE
data_Li5Rh4
_chemical_formula_sum 'Li10 Rh8'
_cell_length_a 7.7119
_cell_length_b 7.7119
_cell_length_c 4.0599
_cell_angle_alpha 90.00
_cell_angle_beta 90.00
_cell_angle_gamma 90.00
_space_group_name_H-M_alt 'I 4/m m m'
_space_group_IT_number 139
_space_group_name_Hall '-I 4 2'
loop_
_atom_site_label
_atom_site_fract_x
_atom_site_fract_y
_atom_site_fract_z
Li1 0.0000 0.0000 0.0000
Li2 0.1718 0.1718 0.5000
Rh1 0.0000 0.3325 0.0000
# Calculated density = 6.14 g/cm³
# Energy above the most stable polymorph in this dataset = 1.0 meV/atom
# Crystal system = tetragonal
# D(E_F) = 0.77 states/eV/atom
# Formation energy = -0.031 eV per atom

---

Record 2
# Cr2NiMo2, relaxed, DFT PBE
data_Cr2NiMo2
_chemical_formula_sum 'Cr4 Ni2 Mo4'
_cell_length_a 6.9798
_cell_length_b 6.9798
_cell_length_c 2.9226
_cell_angle_alpha 90.00
_cell_angle_beta 90.00
_cell_angle_gamma 90.00
_space_group_name_H-M_alt 'P 4/m b m'
_space_group_IT_number 127
_space_group_name_Hall '-P 4 2ab'
loop_
_atom_site_label
_atom_site_fract_x
_atom_site_fract_y
_atom_site_fract_z
Cr1 0.1521 0.3479 0.0000
Ni1 0.0000 0.0000 0.5000
Mo1 0.1508 0.6508 0.5000
# Calculated density = 8.27 g/cm³
# Crystal system = tetragonal
# D(E_F) = 1.17 states/eV/atom
# Formation energy = 0.575 eV per atom

---

Record 3
# Rb2IBr6, relaxed, DFT PBE
data_Rb2IBr6
_chemical_formula_sum 'Rb4 I2 Br12'
_cell_length_a 7.4372
_cell_length_b 8.7968
_cell_length_c 13.1465
_cell_angle_alpha 90.00
_cell_angle_beta 123.61
_cell_angle_gamma 90.00
_space_group_name_H-M_alt 'P 1 21/c 1'
_space_group_IT_number 14
loop_
_space_group_symop_operation_xyz
'x,y,z'
'-x,-y,-z'
'-x,y+1/2,-z+1/2'
'x,-y+1/2,z+1/2'
loop_
_atom_site_label
_atom_site_fract_x
_atom_site_fract_y
_atom_site_fract_z
Rb1 0.2286 0.0836 0.2676
I1 0.5000 0.0000 0.0000
Br1 0.1699 0.1688 0.9726
Br2 0.2471 0.6915 0.9720
Br3 0.3102 0.0006 0.7557
# Calculated density = 3.60 g/cm³
# Crystal system = monoclinic
# D(E_F) = 0.20 states/eV/atom
# Energy relative to the elements, uncorrected = -6.69 eV per formula unit

---

Record 4
# La2Ni4AsP3, relaxed, DFT PBE
data_La2Ni4AsP3
_chemical_formula_sum 'La2 Ni4 As1 P3'
_cell_length_a 4.1367
_cell_length_b 4.1367
_cell_length_c 9.3227
_cell_angle_alpha 90.00
_cell_angle_beta 90.00
_cell_angle_gamma 90.00
_space_group_name_H-M_alt 'P -4 m 2'
_space_group_IT_number 115
loop_
_space_group_symop_operation_xyz
'x,y,z'
'y,-x,-z'
'-x,-y,z'
'-y,x,-z'
'-x,y,z'
'-y,-x,-z'
'x,-y,z'
'y,x,-z'
loop_
_atom_site_label
_atom_site_fract_x
_atom_site_fract_y
_atom_site_fract_z
La1 0.0000 0.5000 0.2461
Ni1 0.0000 0.0000 0.0000
Ni2 0.0000 0.5000 0.6207
Ni3 0.5000 0.5000 0.0000
As1 0.0000 0.0000 0.5000
P1 0.0000 0.5000 0.8737
P2 0.5000 0.5000 0.5000
# Calculated density = 7.08 g/cm³
# Crystal system = tetragonal
# D(E_F) = 0.44 states/eV/atom
# Formation energy = -0.962 eV per atom

---

> Among the records above, which one has the lowest D(E_F)?

Rb2IBr6